Version a
4
Lattice="0.000 3.818 3.818 3.818 0.000 3.818 3.818 3.818 0.000" Properties=species:S:1:pos:R:3 comment="GGA-PBE LaCe2Pa, relaxed" magnetic_moment_mub_per_fu=0.003 space_group="Fm-3m (225)" pbc="T T T"
La 0.000 0.000 0.000
Ce 1.909 1.909 1.909
Ce 5.727 5.727 5.727
Pa 3.818 3.818 3.818

***

Version b
4
Lattice="1.923 1.110 9.916 -1.923 1.110 9.916 0.000 -2.221 9.916" Properties=species:S:1:pos:R:3 comment="GGA-PBE LaCe2Pa, relaxed" magnetic_moment_mub_per_fu=0.398 space_group="R-3m (166)" pbc="T T T"
La 0.000 0.000 0.000
Ce 0.000 0.000 3.344
Ce 0.000 0.000 26.405
Pa 0.000 0.000 14.874

***

Version c
4
Lattice="1.672 0.966 11.484 -1.672 0.966 11.484 0.000 -1.931 11.484" Properties=species:S:1:pos:R:3 comment="GGA-PBE LaCe2Pa, relaxed" magnetic_moment_mub_per_fu=0.000 space_group="R3m (160)" pbc="T T T"
La 0.000 0.000 0.000
Ce 0.000 0.000 14.426
Ce 0.000 0.000 19.960
Pa 0.000 0.000 28.666

***

It is version c that is the most stable of them.

***

Version a
4
Lattice="4.801 0.000 0.000 0.000 4.801 0.000 0.000 0.000 4.710" Properties=species:S:1:pos:R:3 comment="GGA-PBE LaCe2Pa, relaxed" magnetic_moment_mub_per_fu=0.000 space_group="P4/mmm (123)" pbc="T T T"
La 0.000 0.000 0.000
Ce 0.000 2.401 2.355
Ce 2.401 0.000 2.355
Pa 2.401 2.401 0.000

***

Version b
4
Lattice="3.369 0.000 0.000 0.000 3.369 0.000 0.000 0.000 9.936" Properties=species:S:1:pos:R:3 comment="GGA-PBE LaCe2Pa, relaxed" magnetic_moment_mub_per_fu=0.001 space_group="P4/mmm (123)" pbc="T T T"
La 0.000 0.000 0.000
Ce 1.684 1.684 2.683
Ce 1.684 1.684 7.253
Pa 0.000 0.000 4.968

***

It is version b that is the most stable of them.